Density functional theory data (PBE) for a relaxed ZnRe2Ag crystal.

a b c (Å): 2.663 4.661 5.084
angles (deg): 90.00 99.79 90.00
Atoms (fractional coordinates):
Zn (0.000, 0.000, 0.000)
Re (0.278, 0.500, 0.761)
Re (0.722, 0.500, 0.239)
Ag (0.500, 0.000, 0.500)

Properties
magnetic moment	0.000	μB per atom
DFT formation energy	0.517	eV/atom